8
Lattice="-4.460 -0.162 1.418 0.827 -4.085 2.135 3.017 4.479 2.268" Properties=species:S:1:pos:R:3 comment="TaPdC2 meta-GGA SCAN single point on PBEsol structure" e_tot_ev_per_cell=-234.4 mass_density_g_cm3=9.762 delta_e_f_mev_per_atom=586 pbc="T T T"
Ta 1.013 -0.864 3.089
Ta 0.000 0.000 0.000
C -0.203 -2.515 2.969
C -0.010 0.712 3.917
C -2.831 -0.553 2.605
C 1.810 2.822 2.148
Pd -1.817 -2.123 1.776
Pd -1.630 1.097 2.731



5
Lattice="-1.278 -3.595 -1.269 1.426 0.791 -3.676 6.722 -3.076 1.946" Properties=species:S:1:pos:R:3 comment="NaH2AuI meta-GGA SCAN single point on PBEsol structure" e_tot_ev_per_cell=-115.1 mass_density_g_cm3=4.688 pbc="T T T"
Na 3.435 -2.940 -1.499
H -0.639 -1.798 -0.635
H 0.713 0.395 -1.838
Au 3.361 -1.538 0.973
I 0.000 0.000 0.000



5
Lattice="-3.701 0.905 1.608 -1.446 -3.660 -1.268 4.149 -0.957 4.772" Properties=species:S:1:pos:R:3 comment="SrLi2Pd2 meta-GGA SCAN single point on PBEsol structure" e_tot_ev_per_cell=-94.8 mass_density_g_cm3=5.367 delta_e_f_mev_per_atom=-449 de_polymorph_ev_per_atom=0.0000 pbc="T T T"
Li 0.065 -2.998 1.837
Li -1.062 -0.715 3.275
Pd 1.214 -1.799 3.807
Pd -2.211 -1.914 1.304
Sr 0.000 0.000 0.000



20
Lattice="-5.193 0.150 0.290 -0.300 -5.089 -2.744 0.327 -4.400 8.125" Properties=species:S:1:pos:R:3 comment="LiIO3 meta-GGA SCAN single point on PBEsol structure" raw_formation_energy_ev_per_atom=-1.055 e_tot_ev_per_cell=-252.4 mass_density_g_cm3=4.336 pbc="T T T"
O -3.725 -4.743 -1.047
O -0.818 -0.764 1.190
O -0.934 -6.259 1.158
O -0.788 -5.245 4.022
O -3.469 -8.601 4.432
O -3.266 -3.108 4.458
O -3.498 -2.067 -0.229
O -0.900 -3.326 2.124
O -3.508 -6.036 3.504
O -3.498 -4.120 1.599
O -0.683 -4.619 6.675
O -0.702 -7.300 5.846
I -2.699 -3.689 0.029
I -5.039 -5.577 5.785
I -2.637 -7.601 3.168
I -5.102 -1.665 2.646
Li -4.942 -8.810 5.753
Li -2.414 -0.467 0.040
Li -5.009 -4.973 2.573
Li -2.347 -4.304 3.220